[1]
Material: Sc2Ga2Ag
Method: DFT, GGA-PBE
State: relaxed

a b c (Å): 6.678 6.678 6.678
angles (deg): 142.86 142.86 53.53
Fractional coordinates of all 5 atoms:
Sc: 0.250 0.750 0.500
Sc: 0.750 0.250 0.500
Ga: 0.097 0.097 0.000
Ga: 0.903 0.903 0.000
Ag: 0.500 0.500 0.000

Values from the calculation:
Uncorrected energy: -21.40 eV per cell
Space-group type: No. 139
ΔE to the lowest computed polymorph: 551 meV/atom
Theoretical density: 5.19 g cm⁻³
Magnetic moment: 0.19 μB per atom



[2]
Material: TbSmHf
Method: DFT, GGA-PBE
State: relaxed

a b c (Å): 5.216 5.216 5.216
angles (deg): 60.00 60.00 60.00
Fractional coordinates of all 3 atoms:
Tb: 0.000 0.000 0.000
Sm: 0.500 0.500 0.500
Hf: 0.750 0.750 0.750

Values from the calculation:
Energy relative to the elements: 0.85 eV/atom
Uncorrected energy: -16.75 eV per cell
Space-group type: No. 216
ΔE to the lowest computed polymorph: 0 meV/atom
Theoretical density: 8.07 g cm⁻³
Magnetic moment: 0.37 μB per atom



[3]
Material: Y2Sc4Ni3C3
Method: DFT, GGA-PBE
State: relaxed

a b c (Å): 5.820 5.820 13.609
angles (deg): 102.89 102.89 59.99
Fractional coordinates of all 24 atoms:
Y: 0.040 0.876 0.616
Y: 0.124 0.960 0.884
Y: 0.876 0.040 0.116
Y: 0.960 0.124 0.384
Sc: 0.199 0.360 0.090
Sc: 0.298 0.474 0.410
Sc: 0.360 0.199 0.590
Sc: 0.474 0.298 0.910
Sc: 0.526 0.702 0.090
Sc: 0.640 0.801 0.410
Sc: 0.702 0.526 0.590
Sc: 0.801 0.640 0.910
Ni: 0.084 0.415 0.750
Ni: 0.412 0.588 0.250
Ni: 0.415 0.084 0.250
Ni: 0.585 0.916 0.750
Ni: 0.588 0.412 0.750
Ni: 0.916 0.585 0.250
C: 0.000 0.500 0.500
C: 0.169 0.661 0.999
C: 0.339 0.831 0.501
C: 0.500 0.000 0.000
C: 0.661 0.169 0.499
C: 0.831 0.339 0.001

Values from the calculation:
Uncorrected energy: -174.58 eV per cell
Space-group type: No. 15
Theoretical density: 4.91 g cm⁻³
Magnetic moment: 0.00 μB per atom



[4]
Material: BaCdIr
Method: DFT, GGA-PBE
State: relaxed

a b c (Å): 4.997 4.997 4.997
angles (deg): 60.00 60.00 60.00
Fractional coordinates of all 3 atoms:
Ba: 0.000 0.000 0.000
Cd: 0.500 0.500 0.500
Ir: 0.250 0.250 0.250

Values from the calculation:
Uncorrected energy: -11.21 eV per cell
Space-group type: No. 216
Theoretical density: 8.32 g cm⁻³
Magnetic moment: 0.11 μB per atom



[5]
Material: KDyCoSe3
Method: DFT, GGA-PBE
State: relaxed

a b c (Å): 8.588 8.588 8.560
angles (deg): 102.57 102.57 28.51
Fractional coordinates of all 12 atoms:
K: 0.145 0.145 0.070
K: 0.855 0.855 0.930
Dy: 0.169 0.169 0.588
Dy: 0.831 0.831 0.412
Co: 0.499 0.499 0.703
Co: 0.501 0.501 0.297
Se: 0.000 0.000 0.500
Se: 0.345 0.345 0.646
Se: 0.351 0.351 0.207
Se: 0.500 0.500 0.000
Se: 0.649 0.649 0.793
Se: 0.655 0.655 0.354

Values from the calculation:
Uncorrected energy: -57.99 eV per cell
Space-group type: No. 12
Theoretical density: 5.62 g cm⁻³
Magnetic moment: 0.33 μB per atom



[6]
Material: TbSnAuSe3
Method: DFT, GGA-PBE
State: relaxed

a b c (Å): 10.054 4.213 15.484
angles (deg): 90.00 90.00 90.00
Fractional coordinates of all 24 atoms:
Tb: 0.180 0.250 0.021
Tb: 0.320 0.750 0.521
Tb: 0.680 0.250 0.479
Tb: 0.820 0.750 0.979
Sn: 0.034 0.750 0.289
Sn: 0.466 0.250 0.789
Sn: 0.534 0.750 0.211
Sn: 0.966 0.250 0.711
Au: 0.243 0.250 0.328
Au: 0.257 0.750 0.828
Au: 0.743 0.250 0.172
Au: 0.757 0.750 0.672
Se: 0.025 0.750 0.106
Se: 0.145 0.250 0.474
Se: 0.154 0.750 0.684
Se: 0.346 0.250 0.184
Se: 0.355 0.750 0.974
Se: 0.475 0.250 0.606
Se: 0.525 0.750 0.394
Se: 0.645 0.250 0.026
Se: 0.654 0.750 0.816
Se: 0.846 0.250 0.316
Se: 0.855 0.750 0.526
Se: 0.975 0.250 0.894

Values from the calculation:
Uncorrected energy: -111.71 eV per cell
Space-group type: No. 62
ΔE to the lowest computed polymorph: 0 meV/atom
Theoretical density: 7.21 g cm⁻³
Magnetic moment: 0.00 μB per atom



[7]
Material: Sm2GaCo2
Method: DFT, GGA-PBE
State: relaxed

a b c (Å): 5.468 5.468 7.643
angles (deg): 102.16 102.16 60.13
Fractional coordinates of all 10 atoms:
Sm: 0.005 0.705 0.855
Sm: 0.295 0.995 0.645
Sm: 0.705 0.005 0.355
Sm: 0.995 0.295 0.145
Ga: 0.371 0.629 0.250
Ga: 0.629 0.371 0.750
Co: 0.210 0.502 0.494
Co: 0.498 0.790 0.006
Co: 0.502 0.210 0.994
Co: 0.790 0.498 0.506

Values from the calculation:
Uncorrected energy: -56.73 eV per cell
Space-group type: No. 15
Theoretical density: 8.44 g cm⁻³
Magnetic moment: 0.03 μB per atom



[8]
Material: Na6Cd7
Method: DFT, GGA-PBE
State: relaxed

a b c (Å): 11.381 11.381 11.381
angles (deg): 30.41 30.41 30.41
Fractional coordinates of all 13 atoms:
Na: 0.050 0.050 0.050
Na: 0.152 0.152 0.152
Na: 0.333 0.333 0.333
Na: 0.667 0.667 0.667
Na: 0.848 0.848 0.848
Na: 0.950 0.950 0.950
Cd: 0.087 0.592 0.592
Cd: 0.408 0.408 0.913
Cd: 0.408 0.913 0.408
Cd: 0.500 0.500 0.500
Cd: 0.592 0.087 0.592
Cd: 0.592 0.592 0.087
Cd: 0.913 0.408 0.408

Values from the calculation:
Uncorrected energy: -15.60 eV per cell
Space-group type: No. 166
Theoretical density: 4.59 g cm⁻³



- Look up the uncorrected energy of the sixth one.
  -111.71 eV per cell



- The highest uncorrected energy belongs to which entry?
  BaCdIr



- The lowest uncorrected energy belongs to which entry?
  Y2Sc4Ni3C3